A relaxed Mg4Pa crystal. Source: Alexandria, functional PBE-GGA.

ΔH_f (0 K)   1534 meV per atom
Space group   No. 221
Total magnetization   3.5 Bohr magnetons per cell

a = 6.010 Å, b = 6.010 Å, c = 6.010 Å
α = 90.00°, β = 90.00°, γ = 90.00°
Last column: magnetic moment on the atom in μB.
Fractional coordinates of all 5 atoms:
Mg  0.500  0.000  0.500  0.03
Mg  0.500  0.500  0.000  0.03
Mg  0.000  0.000  0.000  -0.01
Mg  0.000  0.500  0.500  0.03
Pa  0.500  0.500  0.500  2.04

***

A relaxed Ce2PmNd8 crystal. Source: Alexandria, functional PBE-GGA.

ΔH_f (0 K)   153 meV per atom
Space group   No. 71
Total magnetization   1.6 Bohr magnetons per cell

a = 5.654 Å, b = 8.385 Å, c = 9.524 Å
α = 116.12°, β = 107.27°, γ = 90.00°
Last column: magnetic moment on the atom in μB.
Fractional coordinates of all 11 atoms:
Ce  0.800  0.300  0.600  0.67
Ce  0.200  0.700  0.400  0.67
Pm  0.500  0.000  0.000  -0.04
Nd  0.000  0.298  0.000  0.00
Nd  0.640  0.845  0.280  0.01
Nd  0.842  0.842  0.683  0.00
Nd  0.360  0.155  0.720  0.01
Nd  0.158  0.158  0.317  0.00
Nd  0.640  0.435  0.280  0.01
Nd  0.000  0.702  0.000  0.00
Nd  0.360  0.565  0.720  0.01

***

A relaxed KY2Rh2 crystal. Source: Alexandria, functional PBE-GGA.

ΔH_f (0 K)   -346 meV per atom
Polymorph energy (0 for the lowest one)   0.0 meV per atom
Space group   No. 127
Total magnetization   0.0 Bohr magnetons per cell

a = 8.427 Å, b = 8.427 Å, c = 3.356 Å
α = 90.00°, β = 90.00°, γ = 90.00°
Fractional coordinates of all 10 atoms:
Rh  0.861  0.639  0.000
Rh  0.139  0.361  0.000
Rh  0.361  0.861  0.000
Rh  0.639  0.139  0.000
Y  0.645  0.855  0.500
Y  0.855  0.355  0.500
Y  0.355  0.145  0.500
Y  0.145  0.645  0.500
K  0.000  0.000  0.000
K  0.500  0.500  0.000

***

A relaxed Ca4PuZr3N8 crystal. Source: Alexandria, functional PBE-GGA.

Space group   No. 166
Total magnetization   3.9 Bohr magnetons per cell
Formation energy without anion corrections   -1.41 eV per atom

a = 6.732 Å, b = 6.849 Å, c = 6.732 Å
α = 119.44°, β = 120.00°, γ = 90.00°
Last column: magnetic moment on the atom in μB.
Fractional coordinates of all 16 atoms:
Pu  0.000  0.500  0.000  3.94
Ca  0.500  0.000  0.500  0.01
Ca  0.000  0.000  0.000  0.01
Ca  0.000  0.000  0.500  0.01
Ca  0.500  0.000  0.000  0.00
N  0.735  0.715  0.975  -0.07
N  0.265  0.285  0.025  -0.07
N  0.740  0.719  0.479  0.01
N  0.260  0.281  0.521  0.01
N  0.760  0.285  0.521  -0.07
N  0.240  0.715  0.975  -0.07
N  0.760  0.285  0.025  -0.07
N  0.240  0.715  0.479  -0.07
Zr  0.000  0.500  0.500  0.05
Zr  0.500  0.500  0.500  0.05
Zr  0.500  0.500  0.000  0.05